[1]
LaPm6Pr5 | GGA-PBE | relaxed

Lattice parameters (Å, degrees): 6.399 6.400 12.193 84.96 79.89 60.00
Positions (direct):
Pr: 0.167 0.667 0.500
Pm: 0.584 0.334 0.250
Pm: 0.083 0.334 0.750
Pr: 0.334 0.333 0.000
Pr: 0.833 0.333 0.500
Pm: 0.251 0.000 0.250
Pm: 0.749 0.000 0.750
Pr: 0.666 0.667 0.000
Pm: 0.416 0.666 0.750
Pr: 0.500 0.000 0.500
Pm: 0.917 0.666 0.250
La: 0.000 0.000 0.000

Calculated values
The formation energy is 0.012 eV per atom. The value obtained for the mass density is 6.68 g/cm3.

[2]
GaGeTe2N | GGA-PBE | relaxed

Lattice parameters (Å, degrees): 5.948 5.948 3.445 90.00 90.00 90.00
Positions (direct):
Te: 0.500 0.000 0.000
Ga: 0.500 0.500 0.500
Ge: 0.000 0.000 0.000
N: 0.000 0.000 0.500
Te: 0.000 0.500 0.000

Calculated values
As for the energy above the most stable polymorph in this dataset: 0 meV/atom. The value obtained for the mass density is 5.61 g/cm3.

[3]
Ac8Pm4Mg | GGA-PBE | relaxed

Lattice parameters (Å, degrees): 11.804 11.804 8.344 90.00 135.02 120.00
Positions (direct):
Pm: 0.500 0.500 0.000
Pm: 0.500 0.000 0.000
Ac: 0.999 0.245 0.245
Pm: 0.000 0.000 0.000
Ac: 0.001 0.246 0.755
Pm: 0.000 0.500 0.000
Ac: 0.491 0.245 0.245
Ac: 0.510 0.755 0.265
Ac: 0.999 0.754 0.245
Ac: 0.490 0.245 0.735
Ac: 0.001 0.755 0.755
Ac: 0.509 0.755 0.755
Mg: 0.000 0.500 0.500

Calculated values
The formation energy is 0.416 eV per atom. The value obtained for the mass density is 6.92 g/cm3.

[4]
PmScNbO6 | GGA-PBE | relaxed

Lattice parameters (Å, degrees): 5.018 5.018 9.958 90.00 90.00 90.00
Last column: magnetic moment on the atom in μB.
Positions (direct):
Pm: 0.000 0.000 0.000  -0.01
O: 0.678 0.678 0.007  0.05
O: 0.178 0.822 0.507  0.05
O: 0.322 0.322 0.007  0.05
Sc: 0.500 0.500 0.837  -0.02
O: 0.299 0.299 0.308  0.20
Sc: 0.000 0.000 0.337  -0.02
Nb: 0.000 0.000 0.663  -0.07
O: 0.715 0.715 0.685  0.20
O: 0.201 0.799 0.808  0.20
O: 0.215 0.785 0.185  0.20
O: 0.701 0.701 0.308  0.20
Nb: 0.500 0.500 0.163  -0.07
O: 0.285 0.285 0.685  0.20
O: 0.785 0.215 0.185  0.20
O: 0.799 0.201 0.808  0.20
Pm: 0.500 0.500 0.500  -0.01
O: 0.822 0.178 0.507  0.05

Calculated values
The value obtained for the mass density is 5.02 g/cm3.

[5]
KZn2Os | GGA-PBE | relaxed

Lattice parameters (Å, degrees): 6.611 6.611 6.611 157.54 127.10 58.18
Positions (direct):
Os: 0.250 0.750 0.500
Zn: 0.052 0.052 0.000
Zn: 0.448 0.448 0.000
K: 0.750 0.250 0.500

Calculated values
The formation energy is 0.725 eV per atom. As for the energy above the most stable polymorph in this dataset: 312 meV/atom. The value obtained for the mass density is 6.82 g/cm3.

[6]
Sc2B | GGA-PBE | relaxed

Lattice parameters (Å, degrees): 2.938 2.938 11.777 90.00 90.00 90.00
Positions (direct):
Sc: 0.500 0.500 0.127
B: 0.500 0.500 0.500
B: 0.000 0.000 0.000
Sc: 0.000 0.000 0.373
Sc: 0.000 0.000 0.627
Sc: 0.500 0.500 0.873

Calculated values
The formation energy is -0.047 eV per atom. As for the energy above the most stable polymorph in this dataset: 102 meV/atom. The value obtained for the mass density is 3.29 g/cm3.

[7]
Ca2C | GGA-PBE | relaxed

Lattice parameters (Å, degrees): 10.139 10.139 6.203 90.00 90.00 120.00
Positions (direct):
Ca: 0.192 0.808 0.750
Ca: 0.617 0.808 0.750
C: 0.333 0.667 0.852
Ca: 0.383 0.192 0.250
C: 0.333 0.667 0.648
Ca: 0.192 0.383 0.750
Ca: 0.000 0.000 0.000
Ca: 0.808 0.617 0.250
Ca: 0.000 0.000 0.500
C: 0.667 0.333 0.148
C: 0.667 0.333 0.352
Ca: 0.808 0.192 0.250

Calculated values
The formation energy is 0.669 eV per atom. As for the energy above the most stable polymorph in this dataset: 635 meV/atom. The value obtained for the mass density is 1.11 g/cm3.

[8]
AcTm2NbO8 | GGA-PBE | relaxed

Lattice parameters (Å, degrees): 5.030 5.032 7.182 90.00 90.00 90.42
Last column: magnetic moment on the atom in μB.
Positions (direct):
Tm: 0.500 0.500 0.767  -0.02
Tm: 0.500 0.500 0.233  -0.02
O: 0.810 0.191 0.206  0.12
O: 0.289 0.288 0.000  0.20
O: 0.711 0.712 0.000  0.20
O: 0.810 0.191 0.794  0.12
O: 0.190 0.809 0.794  0.12
O: 0.190 0.809 0.206  0.12
Nb: 0.000 0.000 0.000  -0.07
Ac: 0.000 0.000 0.500  0.03
O: 0.333 0.331 0.500  0.10
O: 0.667 0.669 0.500  0.10

Calculated values
The value obtained for the mass density is 7.18 g/cm3.

[9]
Tc5GeB2 | GGA-PBE | relaxed

Lattice parameters (Å, degrees): 6.165 6.165 6.805 116.93 116.93 90.00
Positions (direct):
Tc: 0.218 0.012 0.730
B: 0.144 0.356 0.000
Tc: 0.782 0.988 0.270
B: 0.644 0.144 0.000
Ge: 0.750 0.750 0.500
Tc: 0.282 0.782 0.270
Tc: 0.500 0.500 0.000
Tc: 0.512 0.718 0.730
Tc: 0.012 0.512 0.730
Tc: 0.988 0.488 0.270
Ge: 0.250 0.250 0.500
Tc: 0.718 0.218 0.730
B: 0.356 0.856 0.000
Tc: 0.000 0.000 0.000
Tc: 0.488 0.282 0.270
B: 0.856 0.644 0.000

Calculated values
The formation energy is -0.204 eV per atom. The value obtained for the mass density is 9.77 g/cm3.

[10]
Rb2NaGaBr6 | GGA-PBE | relaxed

Lattice parameters (Å, degrees): 7.135 7.630 7.630 120.00 90.00 90.00
Positions (direct):
Br: 0.789 0.159 0.319
Br: 0.211 0.319 0.159
Br: 0.789 0.159 0.841
Br: 0.211 0.841 0.159
Ga: 0.000 0.000 0.000
Rb: 0.824 0.667 0.333
Rb: 0.176 0.333 0.667
Na: 0.500 0.000 0.000
Br: 0.211 0.841 0.681
Br: 0.789 0.681 0.841

Calculated values
The value obtained for the mass density is 3.43 g/cm3.

[11]
DyEr2Tm3Bi6 | GGA-PBE | relaxed

Lattice parameters (Å, degrees): 4.440 8.883 9.928 102.85 102.92 90.00
Positions (direct):
Bi: 0.000 0.252 0.000
Tm: 0.500 0.500 0.000
Er: 0.167 0.333 0.333
Bi: 0.666 0.584 0.333
Bi: 0.332 0.917 0.665
Bi: 0.334 0.416 0.667
Tm: 0.834 0.167 0.667
Dy: 0.500 0.000 0.000
Er: 0.833 0.667 0.667
Bi: 0.668 0.083 0.335
Tm: 0.166 0.833 0.333
Bi: 0.000 0.748 0.000

Calculated values
The formation energy is -0.805 eV per atom. The value obtained for the mass density is 10.09 g/cm3.

[12]
AcThSnPb | GGA-PBE | relaxed

Lattice parameters (Å, degrees): 5.680 5.680 5.680 60.00 60.00 60.00
Positions (direct):
Sn: 0.250 0.250 0.250
Th: 0.000 0.000 0.000
Ac: 0.500 0.500 0.500
Pb: 0.750 0.750 0.750

Calculated values
The formation energy is -0.334 eV per atom. The value obtained for the mass density is 10.06 g/cm3.

[13]
NpInCu2O8 | GGA-PBE | relaxed

Lattice parameters (Å, degrees): 5.818 5.818 5.818 110.51 110.51 107.42
Last column: magnetic moment on the atom in μB.
Positions (direct):
Cu: 0.500 0.500 0.000  -0.13
O: 0.952 0.653 0.700  0.05
O: 0.882 0.705 0.177  -0.03
In: 0.250 0.750 0.500  -0.01
O: 0.748 0.048 0.700  0.05
Cu: 0.750 0.250 0.500  0.32
O: 0.295 0.472 0.177  -0.03
O: 0.528 0.705 0.823  -0.03
O: 0.347 0.048 0.300  0.05
O: 0.952 0.252 0.300  0.05
O: 0.295 0.118 0.823  -0.03
Np: 0.000 0.000 0.000  0.04

Calculated values
The value obtained for the mass density is 6.65 g/cm3.

[14]
CuTcN2O | GGA-PBE | relaxed

Lattice parameters (Å, degrees): 3.744 3.744 3.698 90.00 90.00 90.00
Last column: magnetic moment on the atom in μB.
Positions (direct):
N: 0.500 0.000 0.000  -0.29
Cu: 0.000 0.000 0.000  -0.01
N: 0.000 0.500 0.000  -0.29
O: 0.000 0.000 0.500  -0.03
Tc: 0.500 0.500 0.500  2.86

Calculated values
The value obtained for the mass density is 6.59 g/cm3.

no.,E (eV/cell),M_tot (μB per formula unit)
1,-57.2,0.00
2,-19.6,0.00
3,-48.1,0.00
4,-152.6,1.02
5,-12.0,0.00
6,-39.0,0.00
7,-44.9,0.00
8,-96.8,1.25
9,-142.9,0.00
10,-29.5,0.00
11,-60.1,0.00
12,-20.6,0.00
13,-77.6,0.34
14,-29.2,2.30